Record 1
CdIr2C: optimized geometry, GGA-PBEsol.

## Properties
E above lowest polymorph in eV/f.u.: 4.80
Total magnetization in μB/f.u.: 0.00

a = 6.0264 Å, b = 6.0264 Å, c = 6.0264 Å
α = 90.00°, β = 90.00°, γ = 90.00°
Space group Fm-3m (No. 225)
Inequivalent atoms, fractional coordinates:
Cd: 0.0000 0.0000 0.0000 x4
Ir: 0.2500 0.2500 0.2500 x8
C: 0.0000 0.0000 0.5000 x4

Record 2
Cd3IrC: optimized geometry, GGA-PBEsol.

## Properties
Total magnetization in μB/f.u.: 1.87

a = 5.0939 Å, b = 5.0939 Å, c = 5.0939 Å
α = 90.00°, β = 90.00°, γ = 90.00°
Space group Pm-3m (No. 221)
Inequivalent atoms, fractional coordinates:
Cd: 0.0000 0.0000 0.5000 x3
Ir: 0.0000 0.0000 0.0000 x1
C: 0.5000 0.5000 0.5000 x1

Record 3
CdTcIr2C: optimized geometry, GGA-PBEsol.

## Properties
Total magnetization in μB/f.u.: 1.26

a = 4.5734 Å, b = 4.5734 Å, c = 5.1117 Å
α = 90.00°, β = 90.00°, γ = 90.00°
Space group P4/mmm (No. 123)
Inequivalent atoms, fractional coordinates:
Cd: 0.0000 0.0000 0.0000 x1
Tc: 0.0000 0.0000 0.5000 x1
Ir: 0.0000 0.5000 0.5000 x2
C: 0.5000 0.5000 0.0000 x1

Record 4
KCdC3N3O3: optimized geometry, GGA-PBEsol.

## Properties
Total magnetization in μB/f.u.: 0.00
Energy relative to the elements, uncorrected in eV/atom: -0.71

a = 10.0278 Å, b = 3.6789 Å, c = 18.2663 Å
α = 90.00°, β = 90.00°, γ = 90.00°
Space group Pnma (No. 62)
Inequivalent atoms, fractional coordinates:
K: 0.0764 0.2500 0.1629 x4
Cd: 0.1372 0.2500 0.5438 x4
C: 0.0818 0.2500 0.3747 x4
C: 0.1353 0.2500 0.9714 x4
C: 0.1449 0.2500 0.7144 x4
N: 0.0226 0.2500 0.4330 x4
N: 0.2101 0.2500 0.6591 x4
N: 0.2336 0.2500 0.0095 x4
O: 0.0368 0.2500 0.9338 x4
O: 0.0822 0.2500 0.7708 x4
O: 0.1386 0.2500 0.3174 x4

Record 5
La3CdC: optimized geometry, GGA-PBEsol.

## Properties
Total magnetization in μB/f.u.: 0.00

a = 5.1596 Å, b = 5.1596 Å, c = 5.1596 Å
α = 90.00°, β = 90.00°, γ = 90.00°
Space group Pm-3m (No. 221)
Inequivalent atoms, fractional coordinates:
La: 0.0000 0.0000 0.5000 x3
Cd: 0.5000 0.5000 0.5000 x1
C: 0.0000 0.0000 0.0000 x1

Record 6
MgCdC2O6: optimized geometry, GGA-PBEsol.

## Properties
Total magnetization in μB/f.u.: 0.00
Energy relative to the elements, uncorrected in eV/atom: -1.71

a = 4.8044 Å, b = 4.8044 Å, c = 15.4811 Å
α = 90.00°, β = 90.00°, γ = 120.00°
Space group R-3 (No. 148, hexagonal axes)
Inequivalent atoms, fractional coordinates:
Mg: 0.0000 0.0000 0.0000 x3
Cd: 0.0000 0.0000 0.5000 x3
C: 0.0000 0.0000 0.2549 x6
O: 0.0278 0.2819 0.7454 x18

Record 7
MnCd3C: optimized geometry, GGA-PBEsol.

## Properties
Total magnetization in μB/f.u.: 5.55

a = 5.0647 Å, b = 5.0647 Å, c = 5.0647 Å
α = 90.00°, β = 90.00°, γ = 90.00°
Space group Pm-3m (No. 221)
Inequivalent atoms, fractional coordinates:
Mn: 0.0000 0.0000 0.0000 x1
Cd: 0.0000 0.0000 0.5000 x3
C: 0.5000 0.5000 0.5000 x1

Record 8
CdCN2O: optimized geometry, GGA-PBEsol.

## Properties
Total magnetization in μB/f.u.: 2.81
Energy relative to the elements, uncorrected in eV/atom: 3.12

a = 4.1879 Å, b = 4.1879 Å, c = 4.1505 Å
α = 90.00°, β = 90.00°, γ = 90.00°
Space group P4/mmm (No. 123)
Inequivalent atoms, fractional coordinates:
Cd: 0.0000 0.0000 0.0000 x1
C: 0.5000 0.5000 0.5000 x1
N: 0.0000 0.5000 0.0000 x2
O: 0.0000 0.0000 0.5000 x1

| no. | VASP energy (eV/cell) |
| --- | --- |
| 1 | -96.4 |
| 2 | -13.9 |
| 3 | -27.6 |
| 4 | -321.7 |
| 5 | -27.6 |
| 6 | -212.5 |
| 7 | -12.8 |
| 8 | -17.5 |